Version a
Entry from Alexandria: crystalline TaTePIrPtPb at its relaxed geometry (PBE).

Structure (POSCAR):
```
TaTePIrPtPb
1.0
3.5208 -0.0761 -0.0218
0.2921 3.5856 0.0134
1.5220 -0.1182 10.0715
Ir Ta P Te Pb Pt
1 1 1 1 1 1
Cartesian
2.0961 3.1153 4.7844
4.0251 1.5973 6.1290
2.3396 3.3241 7.1532
2.4079 3.4094 2.1337
1.8814 1.5355 9.4459
3.8392 1.4191 3.4298
```

Computed properties:
Magnetic moment: 0.0 Bohr magnetons per cell
DOS at the Fermi energy: 3.24 states/eV per cell



Version b
Entry from Alexandria: crystalline TaTePIrPtPb at its relaxed geometry (PBE).

Structure (POSCAR):
```
TaTePIrPtPb
1.0
-0.9472 2.9904 -2.3975
-2.5246 -0.8570 3.2592
6.7544 3.9655 5.6236
Pt Ir Te Ta Pb P
1 1 1 1 1 1
Cartesian
2.9284 2.9621 4.9160
0.5936 3.7686 3.5929
4.1739 4.9978 3.7058
1.4892 1.3198 3.4317
-2.1660 -0.0022 3.2469
-0.6523 2.3519 2.3252
```

Computed properties:
Magnetic moment: 0.0 Bohr magnetons per cell
DOS at the Fermi energy: 3.60 states/eV per cell



Verdict on stability: version b comes out at the bottom.



Version a
Entry from Alexandria: crystalline TaTePIrPtPb at its relaxed geometry (PBE).

Structure (POSCAR):
```
TaTePIrPtPb
1.0
-0.9722 3.3828 -1.9031
0.8064 0.4030 -3.8990
-8.9743 -3.8457 -2.2591
Ta P Te Pb Ir Pt
1 1 1 1 1 1
Cartesian
-4.0740 1.8360 -4.6049
-2.1096 0.1641 -4.3730
-7.6134 -0.9671 -3.5724
-1.0054 3.1505 -3.8299
-4.2333 -0.7463 -4.9064
-6.5048 0.7938 -5.2147
```

Computed properties:
Magnetic moment: 0.0 Bohr magnetons per cell
DOS at the Fermi energy: 2.28 states/eV per cell



Version b
Entry from Alexandria: crystalline TaTePIrPtPb at its relaxed geometry (PBE).

Structure (POSCAR):
```
TaTePIrPtPb
1.0
4.4941 -0.0024 -0.0097
0.7826 5.4231 -0.0474
0.2514 2.6562 5.3229
Te Pt Ta Ir P Pb
1 1 1 1 1 1
Cartesian
3.9932 2.7096 2.8760
4.3767 0.9254 0.1680
4.3268 5.4815 2.6834
4.1434 3.7682 0.4740
2.8477 5.6992 0.7773
2.1535 5.5635 4.5524
```

Computed properties:
Magnetic moment: 0.0 Bohr magnetons per cell
DOS at the Fermi energy: 2.86 states/eV per cell



Verdict on stability: version b comes out at the bottom.



Version a
Entry from Alexandria: crystalline TaTePIrPtPb at its relaxed geometry (PBE).

Structure (POSCAR):
```
TaTePIrPtPb
1.0
3.6506 -0.0070 -0.0093
0.0102 5.4039 -0.0443
0.0196 1.4734 6.5161
P Pt Te Ta Ir Pb
1 1 1 1 1 1
Cartesian
2.9845 3.1460 4.8132
1.1597 1.6768 6.1418
1.1492 1.1801 2.3155
2.9891 6.0602 4.4035
1.1635 4.3997 5.5727
2.9772 3.8477 1.3361
```

Computed properties:
Magnetic moment: 0.0 Bohr magnetons per cell
DOS at the Fermi energy: 1.05 states/eV per cell



Version b
Entry from Alexandria: crystalline TaTePIrPtPb at its relaxed geometry (PBE).

Structure (POSCAR):
```
TaTePIrPtPb
1.0
-0.8093 -1.0560 3.9544
-3.8256 -2.8952 0.2632
3.5188 -6.6177 -0.8515
P Ta Pb Pt Te Ir
1 1 1 1 1 1
Cartesian
-2.4007 -4.3559 3.1291
0.8074 -2.1562 -0.0582
0.7832 -7.7984 2.3284
-0.3892 -0.5324 1.6431
1.2432 -4.4977 1.5341
-1.2435 -3.3064 1.4579
```

Computed properties:
Magnetic moment: 0.0 Bohr magnetons per cell
DOS at the Fermi energy: 2.36 states/eV per cell



Version c
Entry from Alexandria: crystalline TaTePIrPtPb at its relaxed geometry (PBE).

Structure (POSCAR):
```
TaTePIrPtPb
1.0
4.2161 -0.0007 -0.0009
-1.3879 4.7468 0.0024
-0.9217 -2.6029 6.9314
Ta P Ir Te Pb Pt
1 1 1 1 1 1
Cartesian
2.5783 1.3243 4.9291
2.6280 -1.3835 5.2786
0.5422 -0.4767 5.1374
0.4953 1.1545 2.9986
1.3126 3.5061 0.6842
0.5930 0.5757 0.3559
```

Computed properties:
Magnetic moment: 0.0 Bohr magnetons per cell
DOS at the Fermi energy: 2.97 states/eV per cell



Verdict on stability: version b comes out at the bottom.